1.
A relaxed SiTcOs2 crystal, computed with PBE.

- volume (Å³/cell) = 54.7
- formation energy without anion corrections (kJ/mol of atoms) = -13.0
- DOS at the Fermi energy (states/eV/cell) = 3.5
- total magnetization (Bohr magnetons per cell) = 0.0

Geometry as POSCAR:
```
SiTcOs2
1.0
2.8640 0.0000 0.0000
0.0000 2.8640 0.0000
0.0000 0.0000 6.6716
Os Tc Si
2 1 1
Direct
0.5000 0.5000 0.2797
0.0000 0.0000 0.9955
0.5000 0.5000 0.7274
0.0000 0.0000 0.4974
```

=====

2.
A relaxed AlCrAg2 crystal, computed with PBE.

- volume (Å³/cell) = 65.9
- DOS at the Fermi energy (states/eV/cell) = 2.5
- total magnetization (Bohr magnetons per cell) = 3.3
- formation enthalpy at 0 K (eV/atom) = 0.148

Geometry as POSCAR:
```
AlCrAg2
1.0
2.9426 0.0003 0.0000
-0.0003 2.9426 0.0000
0.0000 0.0000 7.6111
Cr Ag Al
1 2 1
Direct
0.5000 0.5000 0.7316
0.0000 0.0000 0.9883
0.5000 0.5000 0.2664
0.0000 0.0000 0.5137
```